A plane-wave DFT calculation with meta-GGA SCAN was carried out for InIr2AuN at its PBEsol-relaxed geometry.

CIF file:
```
data_InIr2AuN
_space_group_name_H-M_alt 'P 4/m m m'
_space_group_IT_number 123
_space_group_name_Hall '-P 4 2'
_cell_length_a 3.967
_cell_length_b 3.967
_cell_length_c 4.886
_cell_angle_alpha 90.00
_cell_angle_beta 90.00
_cell_angle_gamma 90.00
loop_
_atom_site_label
_atom_site_type_symbol
_atom_site_fract_x
_atom_site_fract_y
_atom_site_fract_z
In1 In 0.000 0.000 0.000
Ir1 Ir 0.000 0.500 0.500
Au1 Au 0.500 0.500 0.000
N1 N 0.000 0.000 0.500
```

## Properties
V (Å³/cell): 76.9
Size of the total moment (μB/atom): 0.0000
Total DFT energy (no corrections) (eV/cell): -250.91
E_form (uncorrected) (meV/atom): 625